## w
CsFeP2 | PBEsol | optimized geometry

Cell: 5.8716 5.8716 7.1426 Å, 114.27 114.27 90.00°
Each line ends with the local moment (μB).
Element x y z (fractional)
P1 0.1250 0.3750 0.7500  0.06
Fe1 0.7500 0.2500 0.5000  0.66
Cs1 0.2500 0.7500 0.5000  0.01
P2 0.6250 0.3750 0.2500  0.06
Cs2 0.0000 0.0000 0.0000  0.01
Fe2 0.5000 0.5000 0.0000  0.66
P3 0.6250 0.8750 0.2500  0.06
P4 0.6250 0.3750 0.7500  0.06

Computed properties:
* SG: I4_1/amd
* D(E_F): 3.26 states/eV/f.u.

=====

## x
CsFeP2 | PBEsol | optimized geometry

Cell: 4.8631 4.8631 4.8631 Å, 60.00 60.00 60.00°
Each line ends with the local moment (μB).
Element x y z (fractional)
Fe1 0.0000 0.0000 0.0000  3.15
P1 0.2500 0.2500 0.2500  -0.09
P2 0.7500 0.7500 0.7500  -0.09
Cs1 0.5000 0.5000 0.5000  0.00

Computed properties:
* SG: Fm-3m
* D(E_F): 4.40 states/eV/f.u.

=====

Unit: eV/atom. Relative energies: w 0.000; x 1.331.

=====

## w
CsGeSeN2 | PBEsol | optimized geometry

Cell: 4.2618 4.2618 6.7143 Å, 90.00 90.00 90.00°
Each line ends with the local moment (μB).
Element x y z (fractional)
Se1 0.0000 0.0000 0.5000  0.04
N1 0.0000 0.5000 0.0000  0.58
N2 0.5000 0.0000 0.0000  0.58
Cs1 0.0000 0.0000 0.0000  0.03
Ge1 0.5000 0.5000 0.5000  -0.01

Computed properties:
* SG: P4/mmm
* D(E_F): 3.88 states/eV/f.u.

=====

## x
CsGeSeN2 | PBEsol | optimized geometry

Cell: 4.1967 4.1967 6.0755 Å, 90.00 90.00 90.00°
Each line ends with the local moment (μB).
Element x y z (fractional)
N1 0.5000 0.0000 0.0000  0.59
N2 0.0000 0.5000 0.0000  0.59
Se1 0.0000 0.0000 0.0000  0.00
Ge1 0.5000 0.5000 0.5000  -0.11
Cs1 0.0000 0.0000 0.5000  -0.02

Computed properties:
* SG: P4/mmm
* D(E_F): 3.30 states/eV/f.u.

=====

Unit: eV/atom. Relative energies: w 0.324; x 0.000.

=====

## w
CsGePS2 | PBEsol | optimized geometry

Cell: 4.7617 4.9704 4.9704 Å, 90.00 90.00 90.00°
Element x y z (fractional)
Cs1 0.5000 0.5000 0.5000
S1 0.0000 0.5000 0.0000
P1 0.5000 0.0000 0.0000
S2 0.0000 0.0000 0.5000
Ge1 0.0000 0.0000 0.0000

Computed properties:
* SG: P4/mmm
* D(E_F): 4.14 states/eV/f.u.

=====

## x
CsGePS2 | PBEsol | optimized geometry

Cell: 5.2898 5.2898 5.2680 Å, 90.00 90.00 90.00°
Element x y z (fractional)
P1 0.0000 0.0000 0.5000
Cs1 0.0000 0.0000 0.0000
S1 0.0000 0.5000 0.0000
S2 0.5000 0.0000 0.0000
Ge1 0.5000 0.5000 0.5000

Computed properties:
* SG: P4/mmm
* D(E_F): 5.20 states/eV/f.u.

=====

Unit: eV/atom. Relative energies: w 0.000; x 1.553.

=====

## w
CsTe2H | PBEsol | optimized geometry

Cell: 3.7264 3.7264 10.0161 Å, 79.28 79.28 60.00°
Element x y z (fractional)
Te1 0.9339 0.9339 0.1984
Cs1 0.5000 0.5000 0.5000
Te2 0.0661 0.0661 0.8016
H1 0.0000 0.0000 0.0000

Computed properties:
* SG: R-3m
* D(E_F): 2.19 states/eV/f.u.

=====

## x
CsTe2H | PBEsol | optimized geometry

Cell: 5.6512 5.6512 5.6512 Å, 60.00 60.00 60.00°
Each line ends with the local moment (μB).
Element x y z (fractional)
Te1 0.2500 0.2500 0.2500  0.01
Te2 0.7500 0.7500 0.7500  0.01
H1 0.0000 0.0000 0.0000  0.28
Cs1 0.5000 0.5000 0.5000  0.01

Computed properties:
* SG: Fm-3m
* D(E_F): 4.33 states/eV/f.u.

=====

Unit: eV/atom. Relative energies: w 0.000; x 0.621.

=====

## w
CsK3Hg | PBEsol | optimized geometry

Cell: 6.8217 6.8217 6.8217 Å, 90.00 90.00 90.00°
Element x y z (fractional)
Cs1 0.5000 0.5000 0.5000
K1 0.0000 0.5000 0.0000
K2 0.0000 0.0000 0.5000
K3 0.5000 0.0000 0.0000
Hg1 0.0000 0.0000 0.0000

Computed properties:
* SG: Pm-3m
* D(E_F): 3.58 states/eV/f.u.

=====

## x
CsK3Hg | PBEsol | optimized geometry

Cell: 8.2511 8.2511 8.2511 Å, 90.00 90.00 90.00°
Element x y z (fractional)
Cs1 0.0000 0.0000 0.0000
K1 0.0000 0.0000 0.5000
K2 0.0000 0.5000 0.0000
K3 0.5000 0.0000 0.0000
Hg1 0.5000 0.5000 0.5000

Computed properties:
* SG: Pm-3m
* D(E_F): 6.66 states/eV/f.u.

=====

Unit: eV/atom. Relative energies: w 0.000; x 0.477.

=====

## w
Cs2KHg | PBEsol | optimized geometry

Cell: 6.9743 6.9743 6.9743 Å, 60.00 60.00 60.00°
Element x y z (fractional)
Cs1 0.2500 0.2500 0.2500
Cs2 0.7500 0.7500 0.7500
K1 0.0000 0.0000 0.0000
Hg1 0.5000 0.5000 0.5000

Computed properties:
* SG: Fm-3m
* D(E_F): 3.32 states/eV/f.u.

=====

## x
Cs2KHg | PBEsol | optimized geometry

Cell: 7.4009 9.2889 9.2889 Å, 80.87 66.52 66.52°
Element x y z (fractional)
Cs1 0.3750 0.5982 0.9018
Cs2 0.0268 0.0982 0.5982
Cs3 0.8750 0.4018 0.0982
Hg1 0.0000 0.0000 0.0000
K1 0.2500 0.5000 0.5000
K2 0.5000 0.0000 0.0000
Cs4 0.7232 0.9018 0.4018
Hg2 0.7500 0.5000 0.5000

Computed properties:
* SG: I-42d
* D(E_F): 3.70 states/eV/f.u.

=====

Unit: eV/atom. Relative energies: w 0.023; x 0.000.

=====

## w
CsNa2Hg2 | PBEsol | optimized geometry

Cell: 5.6213 5.6213 6.9754 Å, 113.76 113.76 90.00°
Element x y z (fractional)
Hg1 0.7500 0.2500 0.5000
Cs1 0.0000 0.0000 0.0000
Na1 0.6473 0.6473 0.2945
Na2 0.3527 0.3527 0.7055
Hg2 0.2500 0.7500 0.5000

Computed properties:
* SG: I4/mmm
* D(E_F): 2.49 states/eV/f.u.

=====

## x
CsNa2Hg2 | PBEsol | optimized geometry

Cell: 3.7689 9.1900 9.1900 Å, 90.00 90.00 90.00°
Element x y z (fractional)
Hg1 0.0000 0.8823 0.6177
Hg2 0.0000 0.6177 0.1177
Na1 0.5000 0.3365 0.1635
Hg3 0.0000 0.1177 0.3823
Na2 0.5000 0.1635 0.6635
Na3 0.5000 0.8365 0.3365
Cs1 0.0000 0.5000 0.5000
Cs2 0.0000 0.0000 0.0000
Na4 0.5000 0.6635 0.8365
Hg4 0.0000 0.3823 0.8823

Computed properties:
* SG: P4/mbm
* D(E_F): 2.79 states/eV/f.u.

=====

Unit: eV/atom. Relative energies: w 0.028; x 0.000.

=====

## w
Cs2NaHg2 | PBEsol | optimized geometry

Cell: 5.5193 8.8228 8.8228 Å, 90.00 90.00 90.00°
Element x y z (fractional)
Hg1 0.0000 0.6216 0.1216
Cs1 0.5000 0.8242 0.3242
Hg2 0.0000 0.1216 0.3784
Hg3 0.0000 0.3784 0.8784
Cs2 0.5000 0.1758 0.6758
Cs3 0.5000 0.3242 0.1758
Cs4 0.5000 0.6758 0.8242
Hg4 0.0000 0.8784 0.6216
Na1 0.0000 0.5000 0.5000
Na2 0.0000 0.0000 0.0000

Computed properties:
* SG: P4/mbm
* D(E_F): 2.39 states/eV/f.u.

=====

## x
Cs2NaHg2 | PBEsol | optimized geometry

Cell: 6.8289 6.8289 6.8289 Å, 96.14 116.52 116.52°
Element x y z (fractional)
Cs1 0.5000 0.2500 0.7500
Hg1 0.0000 0.3429 0.3429
Na1 0.0000 0.0000 0.0000
Hg2 0.0000 0.6571 0.6571
Cs2 0.5000 0.7500 0.2500

Computed properties:
* SG: I4/mmm
* D(E_F): 2.89 states/eV/f.u.

=====

Unit: eV/atom. Relative energies: w 0.000; x 0.065.

=====

## w
CsRb2Hg2 | PBEsol | optimized geometry

Cell: 4.1739 10.4769 10.4769 Å, 90.00 90.00 90.00°
Element x y z (fractional)
Hg1 0.5000 0.8340 0.3340
Rb1 0.0000 0.6299 0.1299
Rb2 0.0000 0.3701 0.8701
Cs1 0.0000 0.5000 0.5000
Hg2 0.5000 0.1660 0.6660
Hg3 0.5000 0.6660 0.8340
Rb3 0.0000 0.1299 0.3701
Cs2 0.0000 0.0000 0.0000
Rb4 0.0000 0.8701 0.6299
Hg4 0.5000 0.3340 0.1660

Computed properties:
* SG: P4/mbm
* D(E_F): 5.48 states/eV/f.u.

=====

## x
CsRb2Hg2 | PBEsol | optimized geometry

Cell: 5.7196 5.7196 8.4857 Å, 109.70 109.70 90.00°
Element x y z (fractional)
Cs1 0.0000 0.0000 0.0000
Hg1 0.5965 0.5965 0.1929
Hg2 0.4035 0.4035 0.8071
Rb1 0.7500 0.2500 0.5000
Rb2 0.2500 0.7500 0.5000

Computed properties:
* SG: I4/mmm
* D(E_F): 4.43 states/eV/f.u.

=====

Unit: eV/atom. Relative energies: w 0.044; x 0.000.

=====

## w
CsHg3Rh | PBEsol | optimized geometry

Cell: 5.2699 5.2699 5.2699 Å, 90.00 90.00 90.00°
Element x y z (fractional)
Hg1 0.0000 0.5000 0.0000
Cs1 0.5000 0.5000 0.5000
Hg2 0.5000 0.0000 0.0000
Hg3 0.0000 0.0000 0.5000
Rh1 0.0000 0.0000 0.0000

Computed properties:
* SG: Pm-3m
* D(E_F): 1.87 states/eV/f.u.

=====

## x
CsHg3Rh | PBEsol | optimized geometry

Cell: 6.4959 6.4959 6.4959 Å, 90.00 90.00 90.00°
Each line ends with the local moment (μB).
Element x y z (fractional)
Hg1 0.5000 0.0000 0.0000  0.00
Hg2 0.0000 0.5000 0.0000  0.00
Cs1 0.0000 0.0000 0.0000  0.00
Hg3 0.0000 0.0000 0.5000  0.00
Rh1 0.5000 0.5000 0.5000  1.60

Computed properties:
* SG: Pm-3m
* D(E_F): 5.13 states/eV/f.u.

=====

Unit: eV/atom. Relative energies: w 0.000; x 1.548.

=====

## w
Cs3KI | PBEsol | optimized geometry

Cell: 7.4924 7.4924 7.4924 Å, 90.00 90.00 90.00°
Element x y z (fractional)
Cs1 0.0000 0.5000 0.0000
K1 0.5000 0.5000 0.5000
Cs2 0.0000 0.0000 0.5000
Cs3 0.5000 0.0000 0.0000
I1 0.0000 0.0000 0.0000

Computed properties:
* SG: Pm-3m
* D(E_F): 3.18 states/eV/f.u.

=====

## x
Cs3KI | PBEsol | optimized geometry

Cell: 8.1144 8.1144 8.1144 Å, 90.00 90.00 90.00°
Element x y z (fractional)
K1 0.0000 0.0000 0.0000
I1 0.5000 0.5000 0.5000
Cs1 0.0000 0.5000 0.0000
Cs2 0.0000 0.0000 0.5000
Cs3 0.5000 0.0000 0.0000

Computed properties:
* SG: Pm-3m
* D(E_F): 5.66 states/eV/f.u.

=====

Unit: eV/atom. Relative energies: w 0.000; x 0.443.

=====

## w
CsKTe2I | PBEsol | optimized geometry

Cell: 6.3501 6.3501 6.9649 Å, 90.00 90.00 90.00°
Each line ends with the local moment (μB).
Element x y z (fractional)
Te1 0.0000 0.5000 0.0000  0.12
I1 0.0000 0.0000 0.5000  0.09
Te2 0.5000 0.0000 0.0000  0.12
K1 0.5000 0.5000 0.5000  0.00
Cs1 0.0000 0.0000 0.0000  0.00

Computed properties:
* SG: P4/mmm
* D(E_F): 9.15 states/eV/f.u.

=====

## x
CsKTe2I | PBEsol | optimized geometry

Cell: 6.2851 6.2851 6.4144 Å, 90.00 90.00 90.00°
Each line ends with the local moment (μB).
Element x y z (fractional)
Te1 0.5000 0.0000 0.0000  0.61
Te2 0.0000 0.5000 0.0000  0.61
K1 0.0000 0.0000 0.0000  0.02
I1 0.0000 0.0000 0.5000  0.18
Cs1 0.5000 0.5000 0.5000  0.00

Computed properties:
* SG: P4/mmm
* D(E_F): 7.16 states/eV/f.u.

=====

Unit: eV/atom. Relative energies: w 0.191; x 0.000.

=====

## w
CsRuI2N | PBEsol | optimized geometry

Cell: 3.7513 5.8988 5.8988 Å, 90.00 90.00 90.00°
Element x y z (fractional)
I1 0.0000 0.5000 0.0000
I2 0.0000 0.0000 0.5000
Ru1 0.0000 0.0000 0.0000
N1 0.5000 0.0000 0.0000
Cs1 0.5000 0.5000 0.5000

Computed properties:
* SG: P4/mmm
* D(E_F): 3.66 states/eV/f.u.

=====

## x
CsRuI2N | PBEsol | optimized geometry

Cell: 4.5476 6.6833 6.6833 Å, 90.00 90.00 90.00°
Each line ends with the local moment (μB).
Element x y z (fractional)
Cs1 0.0000 0.0000 0.0000  0.05
Ru1 0.5000 0.5000 0.5000  2.82
I1 0.0000 0.5000 0.0000  0.07
N1 0.5000 0.0000 0.0000  0.94
I2 0.0000 0.0000 0.5000  0.07

Computed properties:
* SG: P4/mmm
* D(E_F): 6.48 states/eV/f.u.

=====

Unit: eV/atom. Relative energies: w 0.000; x 2.229.

=====

## w
CsNi3I | PBEsol | optimized geometry

Cell: 4.7740 4.7740 4.7740 Å, 90.00 90.00 90.00°
Element x y z (fractional)
I1 0.0000 0.0000 0.0000
Ni1 0.0000 0.5000 0.0000
Ni2 0.5000 0.0000 0.0000
Cs1 0.5000 0.5000 0.5000
Ni3 0.0000 0.0000 0.5000

Computed properties:
* SG: Pm-3m
* D(E_F): 6.30 states/eV/f.u.

=====

## x
CsNi3I | PBEsol | optimized geometry

Cell: 4.7808 4.7808 4.7808 Å, 90.00 90.00 90.00°
Element x y z (fractional)
Ni1 0.0000 0.0000 0.5000
Ni2 0.0000 0.5000 0.0000
Cs1 0.0000 0.0000 0.0000
Ni3 0.5000 0.0000 0.0000
I1 0.5000 0.5000 0.5000

Computed properties:
* SG: Pm-3m
* D(E_F): 6.69 states/eV/f.u.

=====

Unit: eV/atom. Relative energies: w 0.000; x 0.985.